(1)
! HoIn3 (PBE, optimized geometry); values from VASP
! M_tot = 0.00 Bohr magnetons per cell
! formation enthalpy at 0 K = -262 meV/atom
! SG = No. 44
! E_tot = -0.1272 hartree per atom
&SYSTEM
  ibrav = 0, nat = 4, ntyp = 2
/
ATOMIC_SPECIES
Ho 164.93 Ho.upf
In 114.82 In.upf
CELL_PARAMETERS angstrom
-1.803 5.408 2.687
1.803 -5.408 2.687
1.803 5.408 -2.687
ATOMIC_POSITIONS angstrom
Ho 0.000 0.000 0.000
In 1.803 2.692 -0.781
In 1.803 0.000 2.652
In 0.000 2.716 1.906

=====

(2)
! Ho7In (PBE, optimized geometry); values from VASP
! M_tot = 0.00 Bohr magnetons per cell
! formation enthalpy at 0 K = -77 meV/atom
! SG = No. 225
! E_tot = -0.1626 hartree per atom
&SYSTEM
  ibrav = 0, nat = 8, ntyp = 2
/
ATOMIC_SPECIES
Ho 164.93 Ho.upf
In 114.82 In.upf
CELL_PARAMETERS angstrom
0.000 4.927 4.927
4.927 0.000 4.927
4.927 4.927 0.000
ATOMIC_POSITIONS angstrom
Ho 0.000 0.000 0.000
Ho 2.464 2.464 0.000
Ho 2.464 0.000 2.464
Ho 4.927 2.464 2.464
Ho 0.000 2.464 2.464
Ho 2.464 4.927 2.464
Ho 2.464 2.464 4.927
In 4.927 4.927 4.927

=====

(3)
! Ho3In5 (PBE, optimized geometry); values from VASP
! M_tot = 0.00 Bohr magnetons per cell
! energy above the lowest structure with this stoichiometry = 0 meV per atom
! formation enthalpy at 0 K = -444 meV/atom
! SG = No. 63
! E_tot = -0.1423 hartree per atom
&SYSTEM
  ibrav = 0, nat = 16, ntyp = 2
/
ATOMIC_SPECIES
Ho 164.93 Ho.upf
In 114.82 In.upf
CELL_PARAMETERS angstrom
4.926 -4.026 0.000
4.926 4.026 0.000
0.000 0.000 10.363
ATOMIC_POSITIONS angstrom
Ho 4.926 3.098 7.773
Ho 2.904 0.000 0.000
Ho 2.904 0.000 5.182
Ho 6.949 0.000 0.000
Ho 6.949 0.000 5.182
Ho 4.926 -3.098 2.591
In 2.153 1.700 7.773
In 4.926 2.461 0.448
In 4.926 2.461 4.734
In 2.153 -1.700 2.591
In 4.926 0.020 2.591
In 4.926 -0.020 7.773
In 7.700 1.700 7.773
In 4.926 -2.461 5.630
In 4.926 -2.461 9.915
In 7.700 -1.700 2.591

=====

(4)
! Ho3In (PBE, optimized geometry); values from VASP
! M_tot = 0.00 Bohr magnetons per cell
! energy above the lowest structure with this stoichiometry = 40 meV per atom
! formation enthalpy at 0 K = -225 meV/atom
! SG = No. 44
! E_tot = -0.1596 hartree per atom
&SYSTEM
  ibrav = 0, nat = 4, ntyp = 2
/
ATOMIC_SPECIES
Ho 164.93 Ho.upf
In 114.82 In.upf
CELL_PARAMETERS angstrom
-1.733 5.532 2.982
1.733 -5.532 2.982
1.733 5.532 -2.982
ATOMIC_POSITIONS angstrom
Ho 0.000 0.000 0.000
Ho 1.733 2.971 0.814
Ho 0.000 2.561 3.795
In 1.733 0.000 2.776

=====

(5)
! Ho3In (PBE, optimized geometry); values from VASP
! M_tot = 0.00 Bohr magnetons per cell
! energy above the lowest structure with this stoichiometry = 13 meV per atom
! formation enthalpy at 0 K = -252 meV/atom
! SG = No. 194
! E_tot = -0.1606 hartree per atom
&SYSTEM
  ibrav = 0, nat = 8, ntyp = 2
/
ATOMIC_SPECIES
Ho 164.93 Ho.upf
In 114.82 In.upf
CELL_PARAMETERS angstrom
6.877 0.000 0.000
-3.439 5.956 0.000
0.000 0.000 5.481
ATOMIC_POSITIONS angstrom
Ho 0.000 2.042 1.370
Ho -1.670 4.935 1.370
Ho 1.769 1.021 4.110
Ho 1.670 4.935 1.370
Ho 5.108 1.021 4.110
Ho 3.439 3.913 4.110
In 0.000 3.971 4.110
In 3.439 1.985 1.370

=====

(6)
! Ho8In (PBE, optimized geometry); values from VASP
! M_tot = 1.17 Bohr magnetons per cell
! energy above the lowest structure with this stoichiometry = 61 meV per atom
! formation enthalpy at 0 K = -13 meV/atom
! SG = No. 139
! E_tot = -0.1612 hartree per atom
&SYSTEM
  ibrav = 0, nat = 9, ntyp = 2
/
ATOMIC_SPECIES
Ho 164.93 Ho.upf
In 114.82 In.upf
CELL_PARAMETERS angstrom
-5.983 5.983 1.896
5.983 -5.983 1.896
5.983 5.983 -1.896
ATOMIC_POSITIONS angstrom
Ho 4.035 0.000 0.000
Ho 7.931 0.000 0.000
Ho 0.000 4.035 0.000
Ho 4.078 4.078 0.000
Ho 1.905 -1.905 1.896
Ho -1.905 1.905 1.896
Ho 1.905 1.905 1.896
Ho 0.000 7.931 0.000
In 0.000 0.000 0.000